# 1
Below is an optimized crystal structure of Zr2WC, with properties calculated at the GGA-PBE level.

Cell: 3.3933 4.9369 7.7585 Å, 90.00 90.00 90.00°
Element x y z (fractional)
Zr: 0.0000 0.0000 0.2001
Zr: 0.0000 0.0000 0.7999
Zr: 0.5000 0.5000 0.2001
Zr: 0.5000 0.5000 0.7999
W: 0.0000 0.5000 0.5000
W: 0.5000 0.0000 0.5000
C: 0.0000 0.5000 0.0000
C: 0.5000 0.0000 0.0000

Properties
N(E_F): 6.33 states/eV/cell
formation energy: 0.123 eV per atom
symmetry: Cmmm (65)

# 2
Below is an optimized crystal structure of AgCO2, with properties calculated at the GGA-PBE level.

Cell: 4.9202 4.9202 7.0850 Å, 90.00 90.00 90.00°
Element x y z (fractional)
Ag: 0.0000 0.0000 0.0000
Ag: 0.0000 0.5000 0.2500
Ag: 0.5000 0.0000 0.7500
Ag: 0.5000 0.5000 0.5000
C: 0.0000 0.0000 0.5000
C: 0.0000 0.5000 0.7500
C: 0.5000 0.0000 0.2500
C: 0.5000 0.5000 0.0000
O: 0.0666 0.2500 0.6250
O: 0.2500 0.5666 0.8750
O: 0.2500 0.9334 0.3750
O: 0.4334 0.2500 0.1250
O: 0.5666 0.7500 0.1250
O: 0.7500 0.0666 0.3750
O: 0.7500 0.4334 0.8750
O: 0.9334 0.7500 0.6250

Properties
N(E_F): 4.58 states/eV/cell
formation energy without anion corrections: 509 meV per atom
symmetry: I-42d (122)